The following is a DFT calculation (PBE) of a relaxed LaSm2ErSb4 crystal.

a = 7.7566 Å, b = 4.4874 Å, c = 7.7681 Å
α = 90.00°, β = 109.45°, γ = 90.00°
Last column: nearest neighbours and their distance in Å.
Space group P2/m (No. 10)
Symmetry-distinct sites (fractional):
La (0.0000, 0.0000, 0.0000) x1  6 Sb 3.20
Sm (0.0000, 0.5000, 0.5000) x1  6 Sb 3.20
Sm (0.5000, 0.0000, 0.5000) x1  6 Sb 3.14
Er (0.5000, 0.5000, 0.0000) x1  6 Sb 3.14
Sb (0.2578, 0.0000, 0.7527) x2  3 Sm 3.14-3.20, 2 Er 3.14, 1 La 3.20
Sb (0.2579, 0.5000, 0.2525) x2  1 Er 3.14, 3 Sm 3.14-3.20, 2 La 3.20

Computed properties:
The crystal system is monoclinic. For the volume, the calculation gives 254.95 Å³ per cell. Its total DFT energy (no corrections) is -5.596 eV per atom. The calculation puts the energy relative to the elements, uncorrected at -1.169 eV/atom.

The following is a DFT calculation (PBE) of a relaxed CoTcHg2 crystal.

a = 9.3681 Å, b = 2.8880 Å, c = 5.1381 Å
α = 90.00°, β = 101.34°, γ = 90.00°
Last column: nearest neighbours and their distance in Å.
Space group C2/m (No. 12)
Symmetry-distinct sites (fractional):
Co (0.0000, 0.0000, 0.0000) x2  6 Hg 2.79-2.91, 2 Co 2.89, 4 Tc 2.95
Tc (0.0000, 0.5000, 0.5000) x2  6 Hg 2.86-2.88, 2 Tc 2.89, 4 Co 2.95
Hg (0.2445, 0.5000, 0.2445) x4  3 Co 2.79-2.91, 3 Tc 2.86-2.88, 6 Hg 2.89-2.98

Computed properties:
For the calculated formation energy, the calculation gives 270 kJ/mol of formula units. The crystal system is monoclinic. For the volume, the calculation gives 136.30 Å³ per cell. Its total DFT energy (no corrections) is -3.818 eV per atom.